[1]
Here is Na2SrV after structural relaxation from the Alexandria database. Energies are from PBE.

Cell lengths 5.6769, 5.6769, 5.6769 Å; angles 60.00, 60.00, 60.00 degrees
With the nearest neighbours (Å) after each atom.
Fractional positions:
Na: 0.2500 0.2500 0.2500  4 Sr 3.48, 4 V 3.48
Na: 0.7500 0.7500 0.7500  4 V 3.48, 4 Sr 3.48
Sr: 0.0000 0.0000 0.0000  8 Na 3.48
V: 0.5000 0.5000 0.5000  8 Na 3.48

Calculated values
formation enthalpy at 0 K = 0.698 eV per atom
final energy = -0.1956 Ry per atom
N(E_F) = 5.9 states/eV/cell
excess energy over the best structure of this formula in the dataset = 0 meV per atom

=====

[2]
Here is BeIn2Br after structural relaxation from the Alexandria database. Energies are from PBE.

Cell lengths 6.9136, 6.9136, 6.9136 Å; angles 152.31, 139.85, 49.47 degrees
With the nearest neighbours (Å) after each atom.
Fractional positions:
Be: 0.0000 0.0000 0.0000  4 In 2.74, 4 Br 2.89
In: 0.1740 0.6740 0.5000  2 Be 2.74
In: 0.8260 0.3260 0.5000  2 Be 2.74
Br: 0.5000 0.5000 0.0000  4 Be 2.89, 4 In 3.23

Calculated values
final energy = -0.1797 Ry per atom
N(E_F) = 1.9 states/eV/cell
excess energy over the best structure of this formula in the dataset = 272 meV per atom
formation energy from raw total energies = 0.274 eV per atom

=====

[3]
Here is AcYMg2 after structural relaxation from the Alexandria database. Energies are from PBE.

Cell lengths 3.9290, 3.9290, 8.0501 Å; angles 90.00, 90.00, 90.00 degrees
With the nearest neighbours (Å) after each atom.
Fractional positions:
Ac: 0.0000 0.0000 0.0000  8 Mg 3.58, 4 Ac 3.93
Y: 0.0000 0.0000 0.5000  8 Mg 3.29
Mg: 0.5000 0.5000 0.2807  4 Y 3.29, 1 Mg 3.53, 4 Ac 3.58
Mg: 0.5000 0.5000 0.7193  4 Y 3.29, 1 Mg 3.53, 4 Ac 3.58

Calculated values
formation enthalpy at 0 K = -0.078 eV per atom
final energy = -0.2586 Ry per atom
N(E_F) = 5.2 states/eV/cell

=====

[4]
Here is DyTiSi2Tc after structural relaxation from the Alexandria database. Energies are from PBE.

Cell lengths 6.2435, 6.2435, 6.2435 Å; angles 143.25, 143.25, 52.96 degrees
With the nearest neighbours (Å) after each atom.
Fractional positions:
Dy: 0.0000 0.0000 0.0000  8 Si 3.03
Ti: 0.2500 0.7500 0.5000  4 Si 2.54, 4 Tc 2.78
Si: 0.3930 0.3930 0.0000  1 Si 2.39, 2 Tc 2.54, 2 Ti 2.54
Si: 0.6070 0.6070 0.0000  1 Si 2.39, 2 Tc 2.54, 2 Ti 2.54
Tc: 0.7500 0.2500 0.5000  4 Si 2.54, 4 Ti 2.78

Calculated values
final energy = -0.5519 Ry per atom
N(E_F) = 3.4 states/eV/cell
formation energy from raw total energies = -0.767 eV per atom

=====

[5]
Here is Rb3Al2As4 after structural relaxation from the Alexandria database. Energies are from PBE.

Cell lengths 9.0855, 9.0855, 8.1256 Å; angles 112.80, 112.80, 26.42 degrees
With the nearest neighbours (Å) after each atom.
Fractional positions:
Rb: 0.0000 0.0000 0.0000  6 As 3.39-3.59, 2 Rb 3.79
Rb: 0.1485 0.1485 0.7680  7 As 3.45-3.84, 2 Al 3.65, 1 Rb 3.79
Rb: 0.8515 0.8515 0.2320  7 As 3.45-3.84, 2 Al 3.65, 1 Rb 3.79
Al: 0.3257 0.3257 0.5754  4 As 2.54-2.58
Al: 0.6743 0.6743 0.4246  4 As 2.54-2.58
As: 0.2028 0.2028 0.2755  3 Al 2.54-2.55
As: 0.4786 0.4786 0.6233  1 As 2.41, 1 Al 2.58
As: 0.5214 0.5214 0.3767  1 As 2.41, 1 Al 2.58
As: 0.7972 0.7972 0.7245  3 Al 2.54-2.55

Calculated values
formation enthalpy at 0 K = -0.461 eV per atom
final energy = -0.2706 Ry per atom
N(E_F) = 1.9 states/eV/cell

=====

[6]
Here is La6Nd16Sm7 after structural relaxation from the Alexandria database. Energies are from PBE.

Cell lengths 11.4636, 11.4636, 11.4636 Å; angles 60.00, 60.00, 60.00 degrees
With the nearest neighbours (Å) after each atom.
Fractional positions:
La: 0.2192 0.2192 0.7808  8 Nd 3.68-3.82, 4 Sm 4.08
La: 0.2192 0.7808 0.2192  8 Nd 3.68-3.82, 4 Sm 4.08
La: 0.2192 0.7808 0.7808  8 Nd 3.68-3.82, 4 Sm 4.08
La: 0.7808 0.2192 0.2192  8 Nd 3.68-3.82, 4 Sm 4.08
La: 0.7808 0.2192 0.7808  8 Nd 3.68-3.82, 4 Sm 4.08
La: 0.7808 0.7808 0.2192  8 Nd 3.68-3.82, 4 Sm 4.08
Nd: 0.1235 0.6255 0.6255  4 Sm 3.51-3.52, 3 Nd 3.64, 3 La 3.82
Nd: 0.1535 0.1535 0.1535  3 Sm 3.33, 3 Nd 3.64, 3 La 3.68
Nd: 0.1535 0.1535 0.5396  3 Sm 3.33, 3 Nd 3.64, 3 La 3.68
Nd: 0.1535 0.5396 0.1535  3 Sm 3.33, 3 Nd 3.64, 3 La 3.68
Nd: 0.3745 0.3745 0.3745  4 Sm 3.51-3.52, 3 Nd 3.64, 3 La 3.82
Nd: 0.3745 0.3745 0.8765  4 Sm 3.51-3.52, 3 Nd 3.64, 3 La 3.82
Nd: 0.3745 0.8765 0.3745  4 Sm 3.51-3.52, 3 Nd 3.64, 3 La 3.82
Nd: 0.4604 0.8465 0.8465  3 Sm 3.33, 3 Nd 3.64, 3 La 3.68
Nd: 0.5396 0.1535 0.1535  3 Sm 3.33, 3 Nd 3.64, 3 La 3.68
Nd: 0.6255 0.1235 0.6255  4 Sm 3.51-3.52, 3 Nd 3.64, 3 La 3.82
Nd: 0.6255 0.6255 0.1235  4 Sm 3.51-3.52, 3 Nd 3.64, 3 La 3.82
Nd: 0.6255 0.6255 0.6255  4 Sm 3.51-3.52, 3 Nd 3.64, 3 La 3.82
Nd: 0.8465 0.4604 0.8465  3 Sm 3.33, 3 Nd 3.64, 3 La 3.68
Nd: 0.8465 0.8465 0.4604  3 Sm 3.33, 3 Nd 3.64, 3 La 3.68
Nd: 0.8465 0.8465 0.8465  3 Sm 3.33, 3 Nd 3.64, 3 La 3.68
Nd: 0.8765 0.3745 0.3745  4 Sm 3.51-3.52, 3 Nd 3.64, 3 La 3.82
Sm: 0.0000 0.0000 0.5000  8 Nd 3.33-3.51
Sm: 0.0000 0.5000 0.0000  8 Nd 3.33-3.51
Sm: 0.0000 0.5000 0.5000  8 Nd 3.33-3.51
Sm: 0.5000 0.0000 0.0000  8 Nd 3.33-3.51
Sm: 0.5000 0.0000 0.5000  8 Nd 3.33-3.51
Sm: 0.5000 0.5000 0.0000  8 Nd 3.33-3.51
Sm: 0.5000 0.5000 0.5000  8 Nd 3.52

Calculated values
formation enthalpy at 0 K = 0.193 eV per atom
final energy = -0.3378 Ry per atom
N(E_F) = 47.0 states/eV/cell

=====

[7]
Here is Li2SnHgGe after structural relaxation from the Alexandria database. Energies are from PBE.

Cell lengths 5.0764, 5.0764, 5.4455 Å; angles 90.00, 90.00, 90.00 degrees
With the nearest neighbours (Å) after each atom.
Fractional positions:
Li: 0.0000 0.5000 0.0000  2 Sn 2.54
Li: 0.5000 0.0000 0.0000  2 Sn 2.54
Sn: 0.0000 0.0000 0.0000  4 Li 2.54, 2 Hg 2.72
Hg: 0.0000 0.0000 0.5000  2 Sn 2.72
Ge: 0.5000 0.5000 0.5000  4 Hg 3.59, 8 Li 3.72

Calculated values
formation enthalpy at 0 K = 0.401 eV per atom
final energy = -0.1579 Ry per atom
N(E_F) = 2.0 states/eV/cell

=====

[8]
Here is Nd2DyCu2Si2 after structural relaxation from the Alexandria database. Energies are from PBE.

Cell lengths 11.2124, 11.2124, 11.2124 Å; angles 21.15, 21.15, 21.15 degrees
With the nearest neighbours (Å) after each atom.
Fractional positions:
Nd: 0.1184 0.1184 0.1184  3 Si 3.09, 3 Cu 3.11
Nd: 0.8816 0.8816 0.8816  3 Si 3.09, 3 Cu 3.11
Dy: 0.0000 0.0000 0.0000  6 Cu 3.04, 6 Si 3.05
Cu: 0.3909 0.3909 0.3909  3 Si 2.38
Cu: 0.6091 0.6091 0.6091  3 Si 2.38
Si: 0.2750 0.2750 0.2750  3 Cu 2.38
Si: 0.7250 0.7250 0.7250  3 Cu 2.38

Calculated values
final energy = -0.3846 Ry per atom
N(E_F) = 6.7 states/eV/cell
formation energy from raw total energies = -0.494 eV per atom

=====

[9]
Here is Os2PtSe after structural relaxation from the Alexandria database. Energies are from PBE.

Cell lengths 5.4995, 5.4995, 5.4995 Å; angles 149.63, 132.19, 57.70 degrees
With the nearest neighbours (Å) after each atom.
Fractional positions:
Os: 0.2182 0.2182 0.0000  2 Se 2.55, 4 Os 2.72
Os: 0.7818 0.7818 0.0000  2 Se 2.55, 4 Os 2.72
Pt: 0.5000 0.0000 0.5000  4 Se 2.65, 2 Pt 2.88
Se: 0.0000 0.5000 0.5000  4 Os 2.55, 4 Pt 2.65

Calculated values
final energy = -0.5411 Ry per atom
N(E_F) = 3.9 states/eV/cell
formation energy from raw total energies = 0.634 eV per atom

=====

[10]
Here is CsInTe2 after structural relaxation from the Alexandria database. Energies are from PBE.

Cell lengths 8.1668, 4.1279, 18.6206 Å; angles 90.00, 90.00, 90.00 degrees
With the nearest neighbours (Å) after each atom.
Fractional positions:
Cs: 0.1495 0.2500 0.0859  5 Te 3.68-3.94
Cs: 0.3505 0.7500 0.5859  5 Te 3.68-3.94
Cs: 0.6495 0.2500 0.4141  5 Te 3.68-3.94
Cs: 0.8505 0.7500 0.9141  5 Te 3.68-3.94
In: 0.1194 0.7500 0.3173  6 Te 3.12-3.21
In: 0.3806 0.2500 0.8173  6 Te 3.12-3.21
In: 0.6194 0.7500 0.1827  6 Te 3.12-3.21
In: 0.8806 0.2500 0.6827  6 Te 3.12-3.21
Te: 0.1026 0.2500 0.4424  2 In 3.12, 2 Te 3.42
Te: 0.1286 0.7500 0.7580  4 In 3.12-3.21
Te: 0.3714 0.2500 0.2580  4 In 3.12-3.21
Te: 0.3974 0.7500 0.9424  2 In 3.12, 2 Te 3.42
Te: 0.6026 0.2500 0.0576  2 In 3.12, 2 Te 3.42
Te: 0.6286 0.7500 0.7420  4 In 3.12-3.21
Te: 0.8714 0.2500 0.2420  4 In 3.12-3.21
Te: 0.8974 0.7500 0.5576  2 In 3.12, 2 Te 3.42

Calculated values
final energy = -0.2152 Ry per atom
N(E_F) = 7.8 states/eV/cell
formation energy from raw total energies = -0.459 eV per atom

=====

Q: Look up the N(E_F) of the tenth one.
A: 7.8 states/eV/cell

=====

Q: Among the records above, which one has the highest final energy?
A: Li2SnHgGe

=====

Q: Which of these has the highest final energy?
A: Li2SnHgGe